A plane-wave DFT calculation with PBE was carried out for an optimized crystal structure of KTlCd2.

a b c (Å): 5.109 5.109 6.726
angles (deg): 67.68 67.68 60.00
Sites, in units of the cell vectors:
Cd1 0.983 0.983 0.052
Cd2 0.302 0.302 0.093
K1 0.504 0.504 0.489
Tl1 0.711 0.711 0.867

Formation energy from the elements ... -0.234 eV per formula unit
Uncorrected energy ... -1.382 eV per atom
Crystal system ... trigonal
Space group ... R3m (160)
ΔE to the lowest computed polymorph ... 3 kJ/mol of formula units
Density of states at the Fermi level ... 1.020 states/eV per cell